DFT (PBE) results for an optimized crystal structure of LiAg3S.

Lattice parameters (Å, degrees): 4.913 4.913 4.913 90.00 90.00 90.00
Element x y z (fractional)
Li: 0.000 0.000 0.000
Ag: 0.000 0.500 0.500
Ag: 0.500 0.000 0.500
Ag: 0.500 0.500 0.000
S: 0.500 0.500 0.500

- raw total energy (eV/atom) = -2.670
- space group = Pm-3m, No. 221
- energy relative to the elements, uncorrected (meV per atom) = 249
- energy relative to the lowest polymorph listed for this composition (eV/f.u.) = 0.00